1.
Below is crystalline Li7Zn2Ga at its relaxed geometry, with properties calculated at the GGA-PBE level.

Results
* magnetic moment: 0.00 μB/cell
* formation energy from the elements: -0.085 eV/atom

abc: 4.3873 4.3873 10.5222
angles: 90.00 90.00 120.00
Space group P3m1 (No. 156)
Unique sites:
Li: 0.0000 0.0000 0.0000
Li: 0.0000 0.0000 0.2302
Li: 0.0000 0.0000 0.7316
Li: 0.3333 0.6667 0.4406
Li: 0.3333 0.6667 0.8873
Li: 0.6667 0.3333 0.3146
Li: 0.6667 0.3333 0.6047
Zn: 0.0000 0.0000 0.4813
Zn: 0.3333 0.6667 0.1414
Ga: 0.6667 0.3333 0.0570

---

2.
Below is crystalline K3Cu8Se6 at its relaxed geometry, with properties calculated at the GGA-PBE level.

Results
* energy relative to the elements, uncorrected: -467 meV per atom
* magnetic moment: 0.00 μB/cell

abc: 18.1058 3.9818 10.2005
angles: 90.00 105.69 90.00
Space group C2/m (No. 12)
Unique sites:
K: 0.0000 0.0000 0.0000
K: 0.1915 0.0000 0.2988
Cu: 0.0161 0.0000 0.6372
Cu: 0.0788 0.5000 0.5284
Cu: 0.1041 0.5000 0.7830
Cu: 0.1983 0.0000 0.9141
Se: 0.0399 0.5000 0.2860
Se: 0.1555 0.0000 0.6485
Se: 0.1585 0.5000 0.0241

---

3.
Below is crystalline ReC at its relaxed geometry, with properties calculated at the GGA-PBE level.

Results
* magnetic moment: 0.00 μB/cell
* formation energy from the elements: 0.686 eV/atom

abc: 5.1318 5.2886 7.2118
angles: 90.00 90.00 90.00
Space group P2_12_12_1 (No. 19)
Unique sites:
Re: 0.1232 0.1063 0.4680
Re: 0.1258 0.6193 0.6850
C: 0.2375 0.0062 0.7236
C: 0.2452 0.4725 0.4430

---

4.
Below is crystalline TbEr6Zr at its relaxed geometry, with properties calculated at the GGA-PBE level.

Results
* magnetic moment: 0.00 μB/cell
* formation energy from the elements: 0.243 eV/atom

abc: 6.3498 6.6063 6.6341
angles: 116.22 91.80 102.41
Space group P-1 (No. 2)
Unique sites:
Tb: 0.0000 0.0000 0.0000
Er: 0.2457 0.5171 0.5969
Er: 0.2585 0.0147 0.5554
Er: 0.2755 0.5402 0.0979
Zr: 0.5000 0.0000 0.0000